[1]
Eu2PtAu (GGA-PBE, optimized geometry); formation energy = -780 meV/atom
1.0
2.1402 1.2356 7.1457
-2.1402 1.2356 7.1457
0.0000 -2.4713 7.1457
Eu Pt Au
2 1 1
direct
0.2431 0.2431 0.2431
0.7569 0.7569 0.7569
0.5000 0.5000 0.5000
0.0000 0.0000 0.0000

=====

[2]
U6Ga2N (GGA-PBE, optimized geometry); uncorrected formation energy = -0.26 eV per atom
1.0
6.1907 0.0000 0.0000
0.0000 6.1331 0.0000
-6.0485 0.0000 9.0780
U Ga N
12 4 2
direct
0.2049 0.0188 0.2507
0.2049 0.4812 0.7507
0.2766 0.7174 0.4873
0.2766 0.7826 0.9873
0.2910 0.2136 0.4826
0.2910 0.2864 0.9826
0.7090 0.7136 0.0174
0.7090 0.7864 0.5174
0.7234 0.2174 0.0127
0.7234 0.2826 0.5127
0.7951 0.5188 0.2493
0.7951 0.9812 0.7493
0.2700 0.5079 0.2289
0.2700 0.9921 0.7289
0.7300 0.0079 0.2711
0.7300 0.4921 0.7711
0.0000 0.0000 0.0000
0.0000 0.5000 0.5000

=====

no.,volume (Å³/cell)
1,113.38
2,344.68